Below is a geometry-optimized P2BrCl structure, with properties calculated at the GGA-PBE level.

The volume is 101 Å³/cell. For the uncorrected formation energy, the calculation gives -0.184 eV/atom. The total energy is -3.769 eV/atom. For the total magnetization, the calculation gives 0.00 μB per formula unit.

It has space group P4mm (No. 99), with a = 3.600 Å, b = 3.600 Å, c = 7.774 Å, α = 90.00°, β = 90.00° and γ = 90.00°. Symmetry generates all atoms from P at (0.000, 0.000, 0.000), P at (0.500, 0.500, 0.024), Br at (0.500, 0.500, 0.311) and Cl at (0.000, 0.000, 0.734).